# 1
# Ho12TlRu5

A relaxed Ho12TlRu5 crystal (PBE, Alexandria via LeMat-Bulk).

Structure (POSCAR):
```
Ho12TlRu5
1.0
-2.7927 -1.8659 -7.6678
7.0870 4.4303 -0.4729
1.9390 -6.7942 4.4896
Ho Tl Ru
12 1 5
Direct
0.5550 0.8242 0.7309
0.4450 0.1758 0.2691
0.9067 0.1758 0.7309
0.0933 0.8242 0.2691
0.6867 0.6729 0.3596
0.3133 0.3271 0.6404
0.3133 0.6729 0.9862
0.6867 0.3271 0.0138
0.8079 0.5734 0.7655
0.1921 0.4266 0.2345
0.1921 0.9577 0.7655
0.8079 0.0423 0.2345
0.0000 0.5000 0.5000
0.6642 0.6642 0.0000
0.3358 0.3358 0.0000
0.5000 0.1225 0.6225
0.5000 0.8775 0.3775
0.0000 0.0000 0.0000
```

DOS(E_F) = 14.6 states/eV per cell
energy relative to the elements = -365.1 meV/atom

---

# 2
# Ho4Tl2Ru

A relaxed Ho4Tl2Ru crystal (PBE, Alexandria via LeMat-Bulk).

Structure (POSCAR):
```
Ho4Tl2Ru
1.0
-2.8285 0.4366 2.0613
-3.3324 -7.9843 -2.8816
5.4037 3.0739 6.7639
Ho Tl Ru
4 2 1
Direct
0.5000 0.8936 0.7416
0.0000 0.4379 0.1958
0.5000 0.2492 0.4013
0.0000 0.7049 0.9471
0.5000 0.3084 0.8061
0.5000 0.8344 0.3368
0.0000 0.0714 0.0715
```

DOS(E_F) = 4.6 states/eV per cell
energy relative to the elements = -225.1 meV/atom

---

# 3
# Ho4TlRu2

A relaxed Ho4TlRu2 crystal (PBE, Alexandria via LeMat-Bulk).

Structure (POSCAR):
```
Ho4TlRu2
1.0
7.6137 0.0263 -0.0455
-2.5119 7.1874 0.0455
-2.5898 -3.5793 6.2010
Ho Tl Ru
8 2 4
Direct
0.1574 0.8996 0.4005
0.5995 0.7569 0.4991
0.0078 0.6004 0.7509
0.2491 0.2569 0.8495
0.5926 0.7431 0.9922
0.7422 0.2431 0.8426
0.5009 0.1004 0.2578
0.1505 0.3996 0.4074
0.0000 0.0000 0.0000
0.7500 0.5000 0.2500
0.8750 0.1133 0.4883
0.5117 0.3867 0.6250
0.3750 0.8867 0.7617
0.2383 0.6133 0.1250
```

DOS(E_F) = 7.8 states/eV per cell
energy relative to the elements = -221.2 meV/atom

---

# 4
# Ho3Tl2Ru

A relaxed Ho3Tl2Ru crystal (PBE, Alexandria via LeMat-Bulk).

Structure (POSCAR):
```
Ho3Tl2Ru
1.0
-1.7194 0.0858 4.8039
5.8432 -2.5011 4.8464
2.4455 7.1617 0.7477
Ho Tl Ru
6 4 2
Direct
0.8238 0.3524 0.7815
0.5000 0.0000 0.2312
0.1762 0.6476 0.2185
0.8238 0.3524 0.2185
0.1762 0.6476 0.7815
0.5000 0.0000 0.7688
0.0000 0.0000 0.0000
0.0000 0.0000 0.5000
0.3357 0.3286 0.5000
0.6643 0.6714 0.5000
0.3357 0.3287 0.0000
0.6643 0.6713 0.0000
```

DOS(E_F) = 7.1 states/eV per cell
energy relative to the elements = -361.2 meV/atom
ΔE to the lowest computed polymorph = 0.0000 eV/atom

---

# 5
# Ho2Tl2Ru

A relaxed Ho2Tl2Ru crystal (PBE, Alexandria via LeMat-Bulk).

Structure (POSCAR):
```
Ho2Tl2Ru
1.0
3.3395 0.0000 -0.5358
-0.0860 3.3384 -0.5358
0.0785 0.0806 11.1641
Ho Tl Ru
2 2 1
Direct
0.5760 0.5760 0.1520
0.4240 0.4240 0.8480
0.8055 0.8055 0.6111
0.1945 0.1945 0.3889
0.0000 0.0000 0.0000
```

DOS(E_F) = 1.8 states/eV per cell
energy relative to the elements = -312.2 meV/atom

---

# 6
# Ho8Tl2Ru

A relaxed Ho8Tl2Ru crystal (PBE, Alexandria via LeMat-Bulk).

Structure (POSCAR):
```
Ho8Tl2Ru
1.0
-3.8580 3.6029 -1.0722
-4.3742 -3.4415 4.1749
6.4665 4.3386 4.8411
Ho Tl Ru
8 2 1
Direct
0.4050 0.5872 0.8100
0.6431 0.9285 0.2861
0.8051 0.7364 0.6103
0.9862 0.2215 0.9724
0.1949 0.2636 0.3897
0.3569 0.0715 0.7139
0.5950 0.4128 0.1900
0.0138 0.7785 0.0276
0.8182 0.3021 0.6364
0.1818 0.6979 0.3636
0.5000 0.0000 0.0000
```

DOS(E_F) = 10.1 states/eV per cell
energy relative to the elements = -218.7 meV/atom

---

# 7
# Ho5TlRu2

A relaxed Ho5TlRu2 crystal (PBE, Alexandria via LeMat-Bulk).

Structure (POSCAR):
```
Ho5TlRu2
1.0
6.9577 0.0000 -3.2844
-1.5504 6.7828 -3.2844
-0.1372 -0.1721 8.7211
Ho Tl Ru
10 2 4
Direct
0.5279 0.7091 0.7371
0.7909 0.9721 0.2629
0.0000 0.0000 0.0000
0.5000 0.5000 0.0000
0.2091 0.0279 0.7371
0.7091 0.2091 0.7371
0.0279 0.5279 0.7371
0.2909 0.7909 0.2629
0.9721 0.4721 0.2629
0.4721 0.2909 0.2629
0.7500 0.7500 0.5000
0.2500 0.2500 0.5000
0.1420 0.3580 0.0000
0.6420 0.1420 0.0000
0.3580 0.8580 0.0000
0.8580 0.6420 0.0000
```

DOS(E_F) = 11.1 states/eV per cell
energy relative to the elements = -400.1 meV/atom

---

# 8
# Ho5Tl2Ru2

A relaxed Ho5Tl2Ru2 crystal (PBE, Alexandria via LeMat-Bulk).

Structure (POSCAR):
```
Ho5Tl2Ru2
1.0
-0.8062 1.9169 7.2473
6.1173 -3.9425 1.7233
1.5834 8.6298 -2.1065
Ho Tl Ru
10 4 4
Direct
0.0000 0.0000 0.0000
0.5000 0.5000 0.0000
0.8314 0.7855 0.2297
0.1686 0.4441 0.2297
0.3314 0.9441 0.2297
0.6686 0.2855 0.2297
0.1686 0.2145 0.7703
0.8314 0.5559 0.7703
0.6686 0.0559 0.7703
0.3314 0.7145 0.7703
0.0000 0.2209 0.4418
0.5000 0.7209 0.4418
0.0000 0.7791 0.5582
0.5000 0.2791 0.5582
0.6328 0.8704 0.0000
0.3672 0.1296 0.0000
0.1328 0.6296 0.0000
0.8672 0.3704 0.0000
```

DOS(E_F) = 10.6 states/eV per cell
energy relative to the elements = -373.2 meV/atom

---

# 9
# Ho3TlRu2

A relaxed Ho3TlRu2 crystal (PBE, Alexandria via LeMat-Bulk).

Structure (POSCAR):
```
Ho3TlRu2
1.0
-2.9791 -0.0142 1.6887
1.4709 -1.7041 2.5806
2.7521 9.8530 4.9380
Ho Tl Ru
3 1 2
Direct
0.0000 0.0000 0.0000
0.0000 0.0000 0.7086
0.0000 0.0000 0.2914
0.5000 0.5000 0.5000
0.5000 0.5000 0.8469
0.5000 0.5000 0.1531
```

DOS(E_F) = 2.2 states/eV per cell
energy relative to the elements = -422.3 meV/atom

---

# 10
# HoTlRu

A relaxed HoTlRu crystal (PBE, Alexandria via LeMat-Bulk).

Structure (POSCAR):
```
HoTlRu
1.0
-1.3056 -3.2230 0.5728
3.0962 -1.4160 -0.9102
0.6471 2.5606 5.0404
Ru Tl Ho
1 1 1
Direct
0.2856 0.2856 0.5712
0.6316 0.6316 0.2632
0.9328 0.9328 0.8656
```

DOS(E_F) = 0.5 states/eV per cell
energy relative to the elements = -128.8 meV/atom

---

# 11
# YHoTlRu

A relaxed YHoTlRu crystal (PBE, Alexandria via LeMat-Bulk).

Structure (POSCAR):
```
YHoTlRu
1.0
5.0760 0.0000 0.0000
2.5380 4.3959 0.0000
2.5380 1.4653 4.1445
Y Ru Tl Ho
1 1 1 1
Direct
0.0000 0.0000 0.0000
0.7500 0.7500 0.7500
0.2500 0.2500 0.2500
0.5000 0.5000 0.5000
```

DOS(E_F) = 2.4 states/eV per cell
energy relative to the elements = -262.3 meV/atom